[1]
8
Lattice="-2.950 0.995 -2.744 2.559 -0.994 -3.112 -3.558 -9.353 -2.705" Properties=species:S:1:pos:R:3 comment="CdTc2Bi | the Alexandria database | PBE | relaxed" e_tot_ev_per_atom=-5.61 formation_enthalpy_0k_ev_per_atom=0.771 n_ef_per_ev_cell=1.25 pbc="T T T"
Tc -2.139 -1.933 -2.525
Tc 0.067 -2.743 -3.220
Tc -2.577 -7.107 -4.514
Tc -3.248 -6.922 -6.864
Bi 0.000 0.000 0.000
Bi -3.352 -4.179 -4.189
Cd -0.196 0.000 -2.928
Cd -0.597 -5.174 -4.373

---

[2]
11
Lattice="-1.465 4.206 -2.661 -0.922 -4.368 -6.397 -5.628 -1.143 6.350" Properties=species:S:1:pos:R:3 comment="Ca2PuHg8 | the Alexandria database | PBE | relaxed" e_tot_ev_per_atom=-2.15 formation_enthalpy_0k_ev_per_atom=-0.266 n_ef_per_ev_cell=17.11 pbc="T T T"
Ca -3.309 -2.696 -2.439
Ca -4.706 1.391 -0.269
Pu -0.732 2.103 -1.331
Hg -3.266 -1.272 -5.270
Hg -5.106 -1.736 0.068
Hg -2.087 -0.375 0.556
Hg -0.276 -1.309 -1.916
Hg -5.928 -0.930 -3.265
Hg -2.908 0.430 -2.776
Hg -4.749 -0.033 2.562
Hg -7.738 0.003 -0.792

---

[3]
9
Lattice="6.549 0.000 0.000 -3.274 5.671 0.000 0.000 0.000 9.207" Properties=species:S:1:pos:R:3 comment="Ca2La7 | the Alexandria database | PBE | relaxed" e_tot_ev_per_atom=-4.23 formation_enthalpy_0k_ev_per_atom=0.042 n_ef_per_ev_cell=14.09 pbc="T T T"
Ca 0.000 3.781 0.000
Ca 3.274 1.890 0.000
La 0.000 0.000 0.000
La 4.433 0.000 3.141
La -2.216 3.839 3.141
La 1.058 1.832 3.141
La -1.058 1.832 6.066
La 2.116 0.000 6.066
La 2.216 3.839 6.066

---

[4]
80
Lattice="-9.001 0.966 -4.865 -1.256 -5.762 8.417 3.451 9.297 2.697" Properties=species:S:1:pos:R:3 comment="Mg5Ti3O12 | the Alexandria database | PBE | relaxed" e_tot_ev_per_atom=-6.84 e_form_raw_kj_per_mol_atoms=-220.2 n_ef_per_ev_cell=32.31 pbc="T T T"
Ti -6.791 -0.274 -0.155
Ti -8.387 -2.314 2.393
Ti -2.160 1.852 6.174
Ti -1.113 3.008 0.847
Ti -7.170 2.449 -2.531
Ti -3.298 -0.915 4.110
Ti -3.508 5.416 2.138
Ti 0.364 2.052 8.779
Ti -5.693 1.493 5.402
Ti -4.646 2.650 0.075
Ti 1.581 6.815 3.856
Ti -0.015 4.775 6.404
Mg -0.733 0.284 3.222
Mg -0.628 -2.881 4.209
Mg 0.000 0.000 0.000
Mg -3.258 0.084 0.617
Mg -2.775 5.132 -1.084
Mg -5.129 -2.398 1.776
Mg -0.773 -0.714 6.716
Mg -3.888 8.139 -0.237
Mg -6.242 0.610 2.623
Mg -0.944 6.615 1.250
Mg -5.862 -2.114 4.999
Mg -3.403 2.251 3.124
Mg -4.501 0.483 -2.433
Mg 1.726 4.649 1.348
Mg -0.564 3.892 3.626
Mg -2.918 -3.638 6.486
Mg 1.098 1.768 5.557
Mg -6.033 5.215 -0.467
Mg -3.548 4.417 5.632
Mg -6.073 4.217 3.026
O -6.570 0.474 -2.322
O -2.132 1.066 4.253
O -8.045 1.263 -0.762
O -4.843 0.403 -0.391
O -4.009 2.658 5.063
O -8.611 -0.748 0.720
O -2.495 -0.416 5.958
O -1.350 -3.888 7.539
O -4.020 1.412 6.982
O -6.742 -1.116 1.987
O -6.186 1.619 1.008
O -8.374 -4.022 3.937
O -0.174 1.066 7.035
O -3.509 -1.137 2.058
O -0.812 -1.793 8.286
O -1.755 4.977 0.712
O -0.345 1.242 1.622
O -4.595 -2.781 3.741
O -7.608 -1.892 4.270
O -1.412 -1.469 2.911
O -1.869 2.046 8.219
O -4.593 0.616 3.579
O -7.446 1.319 3.919
O -4.213 7.223 1.402
O -2.213 3.885 2.670
O 0.640 3.182 2.330
O -2.593 -2.722 4.847
O 0.803 6.393 1.979
O -4.937 2.455 -1.970
O -5.394 5.970 3.338
O -2.211 7.282 2.507
O -5.051 -0.475 5.536
O -6.461 3.259 4.627
O -5.994 6.294 -2.037
O -6.632 3.435 -0.786
O 1.568 8.523 2.312
O -3.297 5.638 4.191
O -2.786 3.089 -0.733
O -0.064 5.617 4.261
O -0.620 2.883 5.241
O -5.456 8.389 -1.290
O -4.310 4.917 0.291
O -1.962 4.098 6.639
O 1.805 5.249 5.529
O -2.797 1.843 1.185
O 1.239 3.238 7.010
O -4.674 3.435 1.995
O -0.236 4.027 8.570

---

[5]
5
Lattice="5.482 0.000 0.000 0.000 5.482 0.000 0.000 0.000 3.468" Properties=species:S:1:pos:R:3 comment="MnTe2BrN | the Alexandria database | PBE | relaxed" e_tot_ev_per_atom=-4.83 e_form_raw_kj_per_mol_atoms=25.4 n_ef_per_ev_cell=2.36 pbc="T T T"
Mn 0.000 0.000 0.000
Te 0.000 2.741 0.000
Te 2.741 0.000 0.000
Br 2.741 2.741 1.734
N 0.000 0.000 1.734

---

[6]
5
Lattice="-0.695 -2.277 4.033 4.632 -0.349 0.601 0.008 4.078 2.303" Properties=species:S:1:pos:R:3 comment="ZrTc4 | the Alexandria database | PBE | relaxed" e_tot_ev_per_atom=-7.83 formation_enthalpy_0k_ev_per_atom=2.171 n_ef_per_ev_cell=4.36 pbc="T T T"
Tc 0.000 0.000 0.000
Tc -0.344 0.900 3.168
Tc 2.320 1.865 1.452
Tc 1.968 -1.313 2.317
Zr 1.972 0.726 3.469

---

[7]
6
Lattice="-3.437 -1.114 2.292 -1.851 -1.554 -3.531 6.873 -7.907 2.469" Properties=species:S:1:pos:R:3 comment="PmAlSb | the Alexandria database | PBE | relaxed" e_tot_ev_per_atom=-4.64 e_form_raw_kj_per_mol_atoms=-41.6 n_ef_per_ev_cell=1.99 pbc="T T T"
Sb 0.782 -1.708 0.342
Sb 0.803 -8.867 0.889
Pm -1.574 -3.672 -0.151
Pm 3.159 -6.904 1.382
Al -0.333 -6.386 0.392
Al 1.917 -4.190 0.839

---

[8]
15
Lattice="7.583 0.042 0.033 2.333 7.215 0.033 2.333 1.708 7.010" Properties=species:S:1:pos:R:3 comment="Ce3Pt2 | the Alexandria database | PBE | relaxed" e_tot_ev_per_atom=-6.82 formation_enthalpy_0k_ev_per_atom=-0.846 n_ef_per_ev_cell=46.60 pbc="T T T"
Ce 0.000 0.000 0.000
Ce 2.506 1.834 1.448
Ce 9.743 7.131 5.629
Ce 4.907 5.056 1.193
Ce 6.303 1.891 2.785
Ce 3.709 3.971 4.641
Ce 7.343 3.909 5.884
Ce 5.946 7.074 4.292
Ce 8.541 4.994 2.436
Pt 3.266 6.728 2.897
Pt 7.401 3.068 0.377
Pt 5.162 1.789 5.872
Pt 8.983 2.237 4.181
Pt 4.849 5.897 6.700
Pt 7.087 7.176 1.206

---

[9]
15
Lattice="9.248 -0.149 -0.214 -4.530 8.112 0.178 -4.530 -2.649 7.669" Properties=species:S:1:pos:R:3 comment="Ca4Ac3Te8 | the Alexandria database | PBE | relaxed" e_tot_ev_per_atom=-4.60 e_form_raw_kj_per_mol_atoms=-151.0 n_ef_per_ev_cell=2.74 pbc="T T T"
Ca 4.624 -0.075 -0.107
Ca -2.265 4.056 0.089
Ca 0.000 0.000 0.000
Ca -2.265 -1.325 3.834
Ac 2.359 3.981 -0.018
Ac 2.359 -1.399 3.727
Ac 0.095 2.657 3.816
Te 2.379 1.256 1.804
Te -4.530 5.463 2.022
Te 7.001 1.168 1.678
Te 0.095 5.407 1.902
Te 0.095 -0.094 5.731
Te -6.812 4.145 5.954
Te -4.530 0.000 5.825
Te -2.190 4.058 5.829

---

[10]
6
Lattice="0.000 5.347 5.347 5.347 0.000 5.347 5.347 5.347 0.000" Properties=species:S:1:pos:R:3 comment="Ba4CaAu | the Alexandria database | PBE | relaxed" e_tot_ev_per_atom=-1.79 formation_enthalpy_0k_ev_per_atom=0.368 n_ef_per_ev_cell=11.47 pbc="T T T"
Ba 4.004 6.690 6.690
Ba 6.690 6.690 4.004
Ba 6.690 4.004 6.690
Ba 4.004 4.004 4.004
Ca 8.020 8.020 8.020
Au 0.000 0.000 0.000

---

[11]
12
Lattice="-2.760 4.788 -4.901 -3.641 -6.243 1.525 -1.595 4.058 6.747" Properties=species:S:1:pos:R:3 comment="Ba6AsCl3O2 | the Alexandria database | PBE | relaxed" e_tot_ev_per_atom=-4.59 e_form_raw_kj_per_mol_atoms=-188.9 n_ef_per_ev_cell=4.09 pbc="T T T"
Ba -5.887 4.132 1.644
Ba -4.846 -0.185 -0.983
Ba -2.109 -1.530 1.727
Ba -6.208 0.113 3.985
Ba -3.149 2.788 4.354
Ba -1.788 2.490 -0.615
As 0.000 0.000 0.000
Cl -4.300 -2.482 3.889
Cl -3.696 5.084 -0.518
Cl -3.998 1.301 1.685
O -3.348 -2.579 -0.610
O -3.053 1.123 -2.767

---

[12]
4
Lattice="-0.998 -1.879 -2.083 -1.862 -2.200 0.748 -5.590 2.222 -1.456" Properties=species:S:1:pos:R:3 comment="V2GeH | the Alexandria database | PBE | relaxed" e_tot_ev_per_atom=-6.61 n_ef_per_ev_cell=3.85 pbc="T T T"
H 0.000 0.000 0.000
Ge -4.225 -0.929 -1.396
V -1.669 -0.807 -0.601
V -6.781 -1.050 -2.190

---

[13]
4
Lattice="-3.929 -5.290 -0.801 1.077 -5.811 -3.023 1.046 4.751 4.516" Properties=species:S:1:pos:R:3 comment="CuSiHg2 | the Alexandria database | PBE | relaxed" e_tot_ev_per_atom=-2.22 e_form_raw_kj_per_mol_atoms=29.5 n_ef_per_ev_cell=1.27 pbc="T T T"
Cu 0.286 -3.547 -0.292
Hg -0.135 -0.526 -0.181
Hg -2.132 -2.956 0.932
Si -1.251 -4.871 -1.677

---

[14]
10
Lattice="-0.179 -3.284 -2.527 3.792 0.891 -1.426 3.936 -5.586 6.979" Properties=species:S:1:pos:R:3 comment="Ce2Ga3Ni4Ge | the Alexandria database | PBE | relaxed" e_tot_ev_per_atom=-5.44 formation_enthalpy_0k_ev_per_atom=-0.567 n_ef_per_ev_cell=11.36 pbc="T T T"
Ce 0.888 -3.029 0.469
Ce 4.855 -3.754 4.533
Ga 1.968 -2.793 3.490
Ga 3.351 -6.524 4.836
Ga 2.392 -0.259 0.167
Ni 1.806 -1.196 -1.977
Ni 0.000 0.000 0.000
Ni 2.388 -5.158 3.129
Ni 3.354 -1.625 1.873
Ge 3.775 -3.990 1.513

---

[15]
8
Lattice="6.644 0.000 0.000 0.000 6.644 0.000 3.322 3.322 2.726" Properties=species:S:1:pos:R:3 comment="Nb2ZnB | the Alexandria database | PBE | relaxed" e_tot_ev_per_atom=-6.84 formation_enthalpy_0k_ev_per_atom=0.181 n_ef_per_ev_cell=7.12 pbc="T T T"
Nb 4.739 1.661 0.681
Nb 1.905 4.983 0.681
Nb 4.983 5.227 2.044
Nb 8.305 8.061 2.044
B 3.322 3.322 0.000
B 3.322 6.644 1.363
Zn 0.000 0.000 0.000
Zn 6.644 3.322 1.363

---

[16]
8
Lattice="-2.574 -4.269 0.922 -0.563 -0.737 -4.984 5.353 -6.711 -2.191" Properties=species:S:1:pos:R:3 comment="LaCrAu2 | the Alexandria database | PBE | relaxed" e_tot_ev_per_atom=-4.96 formation_enthalpy_0k_ev_per_atom=0.313 n_ef_per_ev_cell=8.55 pbc="T T T"
Cr -1.569 -2.503 -2.031
Cr 1.611 -4.975 -4.603
Au -0.042 -3.943 -0.702
Au 0.366 -3.167 -3.441
Au 2.773 -6.996 -3.745
Au 1.335 -9.328 -4.619
La 0.000 0.000 0.000
La 0.605 -6.742 -1.650

---

[17]
5
Lattice="-4.104 -1.584 1.481 0.020 -3.198 -3.365 2.168 -2.969 2.834" Properties=species:S:1:pos:R:3 comment="KVIr3 | the Alexandria database | PBE | relaxed" e_tot_ev_per_atom=-4.32 formation_enthalpy_0k_ev_per_atom=3.036 n_ef_per_ev_cell=7.35 pbc="T T T"
K 0.000 0.000 0.000
Ir 0.010 -1.599 -1.682
Ir 1.084 -1.484 1.417
Ir -2.052 -0.792 0.741
V -0.958 -3.875 0.475

---

[18]
12
Lattice="4.423 0.000 0.000 0.000 9.032 0.394 -2.211 -2.527 9.386" Properties=species:S:1:pos:R:3 comment="KHo2Pu3Te6 | the Alexandria database | PBE | relaxed" e_tot_ev_per_atom=-7.15 e_form_raw_kj_per_mol_atoms=-110.1 n_ef_per_ev_cell=43.01 pbc="T T T"
K 2.211 0.000 0.000
Ho 2.211 4.297 6.495
Ho 0.000 2.208 3.285
Pu 2.211 4.516 0.197
Pu 2.211 -0.209 6.389
Pu 0.000 6.715 3.391
Te 0.000 6.512 6.502
Te 2.211 4.407 3.390
Te 2.211 -0.007 3.278
Te 0.000 2.370 0.207
Te 2.211 4.135 9.573
Te 0.000 2.098 6.390

---

[19]
5
Lattice="-1.505 1.770 4.442 -0.623 -4.690 1.658 4.741 -0.054 1.628" Properties=species:S:1:pos:R:3 comment="Mg3BeGa | the Alexandria database | PBE | relaxed" e_tot_ev_per_atom=-1.69 formation_enthalpy_0k_ev_per_atom=0.618 n_ef_per_ev_cell=2.55 pbc="T T T"
Be 1.307 -1.487 3.864
Mg -0.311 -2.345 0.829
Mg 2.371 -0.027 0.814
Mg -0.752 0.885 2.221
Ga 0.000 0.000 0.000

---

[20]
12
Lattice="5.274 0.026 -0.004 0.071 5.275 -0.005 0.005 0.008 7.210" Properties=species:S:1:pos:R:3 comment="AcPr2OsO8 | the Alexandria database | PBE | relaxed" e_tot_ev_per_atom=-7.79 e_form_raw_kj_per_mol_atoms=-232.1 n_ef_per_ev_cell=3.96 pbc="T T T"
Ac 0.002 0.004 3.605
Pr 2.676 2.657 5.419
Pr 2.673 2.652 1.782
Os 0.000 0.000 0.000
O 1.006 4.325 1.400
O 4.010 3.987 -0.006
O 4.340 0.979 1.401
O 4.343 0.984 5.801
O 1.339 1.322 7.207
O 1.010 4.330 5.800
O 3.645 3.631 3.598
O 1.704 1.678 3.603